(1)
# PaBr3Cl, optimized geometry, DFT GGA-PBE
data_PaBr3Cl
_symmetry_space_group_name_H-M 'C m c m'
_symmetry_Int_Tables_number 63
_symmetry_space_group_name_Hall '-C 2c 2'
_cell_length_a 10.0677
_cell_length_b 9.8228
_cell_length_c 8.4531
_cell_angle_alpha 90.00
_cell_angle_beta 90.00
_cell_angle_gamma 90.00
loop_
_atom_site_label
_atom_site_fract_x
_atom_site_fract_y
_atom_site_fract_z
Pa1 0.0000 0.0000 0.0000
Br1 0.0000 0.2015 0.2500
Br2 0.2318 0.5000 0.0000
Cl1 0.0000 0.1774 0.7500
# - DFT total energy: -4.790 eV per atom
# - Formation energy from raw total energies: -1.517 eV/atom


(2)
# Y2H4Se, optimized geometry, DFT GGA-PBE
data_Y2H4Se
_symmetry_space_group_name_H-M 'R -3 m'
_symmetry_Int_Tables_number 166
_symmetry_space_group_name_Hall '-R 3 2"'
_cell_length_a 3.7627
_cell_length_b 3.7627
_cell_length_c 21.4707
_cell_angle_alpha 90.00
_cell_angle_beta 90.00
_cell_angle_gamma 120.00
loop_
_atom_site_label
_atom_site_fract_x
_atom_site_fract_y
_atom_site_fract_z
Y1 0.0000 0.0000 0.2411
H1 0.0000 0.0000 0.1374
H2 0.0000 0.0000 0.4339
Se1 0.0000 0.0000 0.0000
# - DFT total energy: -5.240 eV per atom


(3)
# Nd2SI3, optimized geometry, DFT GGA-PBE
data_Nd2SI3
_symmetry_space_group_name_H-M 'C 1 2/m 1'
_symmetry_Int_Tables_number 12
_cell_length_a 18.0556
_cell_length_b 4.6866
_cell_length_c 12.3413
_cell_angle_alpha 90.00
_cell_angle_beta 119.25
_cell_angle_gamma 90.00
loop_
_symmetry_equiv_pos_as_xyz
'x,y,z'
'-x,-y,-z'
'-x,y,-z'
'x,-y,z'
'x+1/2,y+1/2,z'
'-x+1/2,-y+1/2,-z'
'-x+1/2,y+1/2,-z'
'x+1/2,-y+1/2,z'
loop_
_atom_site_label
_atom_site_fract_x
_atom_site_fract_y
_atom_site_fract_z
Nd1 0.0894 0.0000 0.4488
Nd2 0.1406 0.5000 0.7969
S1 0.0861 0.0000 0.6707
I1 0.0491 0.5000 0.2396
I2 0.1583 0.0000 0.0109
I3 0.2284 0.5000 0.6129
# - DFT total energy: -4.591 eV per atom
# - Formation energy from raw total energies: -1.538 eV/atom


(4)
# NiTeRh2, optimized geometry, DFT GGA-PBE
data_NiTeRh2
_symmetry_space_group_name_H-M 'F -4 3 m'
_symmetry_Int_Tables_number 216
_symmetry_space_group_name_Hall 'F -4 2 3'
_cell_length_a 6.2608
_cell_length_b 6.2608
_cell_length_c 6.2608
_cell_angle_alpha 90.00
_cell_angle_beta 90.00
_cell_angle_gamma 90.00
loop_
_atom_site_label
_atom_site_fract_x
_atom_site_fract_y
_atom_site_fract_z
Ni1 0.0000 0.0000 0.0000
Te1 0.2500 0.2500 0.7500
Rh1 0.0000 0.0000 0.5000
Rh2 0.2500 0.2500 0.2500
# - DFT total energy: -5.800 eV per atom
# - Formation energy from raw total energies: 0.107 eV/atom


(5)
# PrEr2ThBi4, optimized geometry, DFT GGA-PBE
data_PrEr2ThBi4
_symmetry_space_group_name_H-M 'P 1 2/m 1'
_symmetry_Int_Tables_number 10
_cell_length_a 7.8217
_cell_length_b 4.5428
_cell_length_c 7.8613
_cell_angle_alpha 90.00
_cell_angle_beta 109.51
_cell_angle_gamma 90.00
loop_
_symmetry_equiv_pos_as_xyz
'x,y,z'
'-x,-y,-z'
'-x,y,-z'
'x,-y,z'
loop_
_atom_site_label
_atom_site_fract_x
_atom_site_fract_y
_atom_site_fract_z
Pr1 0.0000 0.0000 0.0000
Er1 0.5000 0.0000 0.5000
Er2 0.5000 0.5000 0.0000
Th1 0.0000 0.5000 0.5000
Bi1 0.2617 0.0000 0.7528
Bi2 0.2620 0.5000 0.2556
# - DFT total energy: -5.402 eV per atom


(6)
# EuMgZnSi, optimized geometry, DFT GGA-PBE
data_EuMgZnSi
_symmetry_space_group_name_H-M 'F -4 3 m'
_symmetry_Int_Tables_number 216
_symmetry_space_group_name_Hall 'F -4 2 3'
_cell_length_a 6.9643
_cell_length_b 6.9643
_cell_length_c 6.9643
_cell_angle_alpha 90.00
_cell_angle_beta 90.00
_cell_angle_gamma 90.00
loop_
_atom_site_label
_atom_site_fract_x
_atom_site_fract_y
_atom_site_fract_z
Eu1 0.0000 0.0000 0.0000
Mg1 0.0000 0.0000 0.5000
Zn1 0.2500 0.2500 0.7500
Si1 0.2500 0.2500 0.2500
# - DFT total energy: -4.895 eV per atom
# - Formation energy from raw total energies: -0.254 eV/atom


(7)
# Tl2Sb2Au5, optimized geometry, DFT GGA-PBE
data_Tl2Sb2Au5
_symmetry_space_group_name_H-M 'C 1 2/m 1'
_symmetry_Int_Tables_number 12
_cell_length_a 13.4891
_cell_length_b 4.7191
_cell_length_c 8.8841
_cell_angle_alpha 90.00
_cell_angle_beta 121.63
_cell_angle_gamma 90.00
loop_
_symmetry_equiv_pos_as_xyz
'x,y,z'
'-x,-y,-z'
'-x,y,-z'
'x,-y,z'
'x+1/2,y+1/2,z'
'-x+1/2,-y+1/2,-z'
'-x+1/2,y+1/2,-z'
'x+1/2,-y+1/2,z'
loop_
_atom_site_label
_atom_site_fract_x
_atom_site_fract_y
_atom_site_fract_z
Tl1 0.1454 0.0000 0.3358
Sb1 0.1345 0.5000 0.8301
Au1 0.0000 0.5000 0.0000
Au2 0.0982 0.5000 0.4837
Au3 0.1102 0.0000 0.9671
# - DFT total energy: -3.263 eV per atom
# - Formation energy from raw total energies: 0.000 eV/atom


(8)
# Li2MgZnF6, optimized geometry, DFT GGA-PBE
data_Li2MgZnF6
_symmetry_space_group_name_H-M 'R 3'
_symmetry_Int_Tables_number 146
_symmetry_space_group_name_Hall 'R 3'
_cell_length_a 5.1347
_cell_length_b 5.1347
_cell_length_c 13.9644
_cell_angle_alpha 90.00
_cell_angle_beta 90.00
_cell_angle_gamma 120.00
loop_
_atom_site_label
_atom_site_fract_x
_atom_site_fract_y
_atom_site_fract_z
Li1 0.0000 0.0000 0.0000
Li2 0.0000 0.0000 0.4964
Mg1 0.0000 0.0000 0.7036
Zn1 0.0000 0.0000 0.2060
F1 0.0275 0.6769 0.7735
F2 0.0313 0.3611 0.2758
# - DFT total energy: -4.725 eV per atom
# - Formation energy from raw total energies: -2.932 eV/atom